DFT (GGA+U) results for crystalline CrNiBO4 at its relaxed geometry.

Cell: 5.5124 5.5124 5.5124 Å, 120.94 118.84 90.20°
Sites, in units of the cell vectors:
Cr 0.0000 0.0000 0.0000
Cr 0.5000 0.0000 0.5000
Ni 0.5000 0.0000 0.0000
Ni 0.5000 0.5000 0.5000
B 0.1168 0.3668 0.7500
B 0.8832 0.6332 0.2500
O 0.2131 0.7409 0.4722
O 0.2312 0.2591 0.9722
O 0.2365 0.2545 0.5181
O 0.2365 0.7184 0.9819
O 0.7635 0.2816 0.0181
O 0.7635 0.7455 0.4819
O 0.7688 0.7409 0.0278
O 0.7869 0.2591 0.5278

- Magnetic moment: 0.71 μB per atom
- Space group: No. 74
- VASP energy: -97.049 eV for the cell shown